Record 1
A relaxed structure of BAuC3. Source: Alexandria via LeMat-Bulk, functional PBE.

a b c (Å): 3.590 3.590 3.590
angles (deg): 90.00 90.00 90.00
Sites, in units of the cell vectors:
C1 0.000 0.500 0.000
Au1 0.500 0.500 0.500
C2 0.500 0.000 0.000
B1 0.000 0.000 0.000
C3 0.000 0.000 0.500

## Properties
calculated formation energy = 2527 meV per atom
density of states at the Fermi level = 0.39 states/eV/atom

Record 2
A relaxed structure of Th2NiGe3. Source: Alexandria via LeMat-Bulk, functional PBE.

a b c (Å): 5.938 5.938 8.377
angles (deg): 110.99 110.99 89.38
Sites, in units of the cell vectors:
Ge1 0.826 0.826 0.652
Ge2 0.175 0.652 0.827
Ge3 0.652 0.175 0.827
Ge4 0.825 0.348 0.173
Th1 0.250 0.750 0.500
Ge5 0.348 0.825 0.173
Th2 0.750 0.250 0.500
Ge6 0.174 0.174 0.348
Th3 0.754 0.754 0.000
Ni1 0.666 0.666 0.333
Th4 0.246 0.246 0.000
Ni2 0.334 0.334 0.667

## Properties
calculated formation energy = -733 meV per atom
density of states at the Fermi level = 0.39 states/eV/atom

Record 3
A relaxed structure of Ac2ThGe3Pt4. Source: Alexandria via LeMat-Bulk, functional PBE.

a b c (Å): 4.493 4.493 11.281
angles (deg): 90.00 90.00 90.00
Sites, in units of the cell vectors:
Pt1 0.500 0.500 0.000
Ac1 0.000 0.500 0.777
Pt2 0.000 0.000 0.000
Pt3 0.500 0.000 0.661
Ge1 0.000 0.500 0.114
Pt4 0.000 0.500 0.339
Ge2 0.500 0.000 0.886
Ge3 0.000 0.000 0.500
Th1 0.500 0.500 0.500
Ac2 0.500 0.000 0.223

## Properties
calculated formation energy = -949 meV per atom
density of states at the Fermi level = 0.73 states/eV/atom

Record 4
A relaxed structure of GdPuZnGe. Source: Alexandria via LeMat-Bulk, functional PBE.

a b c (Å): 5.071 5.071 5.071
angles (deg): 60.00 60.00 60.00
Sites, in units of the cell vectors:
Gd1 0.750 0.750 0.750
Zn1 0.500 0.500 0.500
Pu1 0.250 0.250 0.250
Ge1 0.000 0.000 0.000

## Properties
calculated formation energy = -397 meV per atom
density of states at the Fermi level = 2.37 states/eV/atom

Record 5
A relaxed structure of RbPd2Cl6. Source: Alexandria via LeMat-Bulk, functional PBE.

a b c (Å): 6.533 6.533 7.301
angles (deg): 90.00 90.00 120.00
Sites, in units of the cell vectors:
Cl1 0.372 0.372 0.311
Cl2 0.000 0.628 0.311
Cl3 0.628 0.628 0.689
Cl4 0.628 0.000 0.311
Cl5 0.000 0.372 0.689
Cl6 0.372 0.000 0.689
Pd1 0.333 0.667 0.500
Pd2 0.667 0.333 0.500
Rb1 0.000 0.000 0.000

## Properties
density of states at the Fermi level = 0.49 states/eV/atom
formation energy (no corrections) = -707 meV/atom

Record 6
A relaxed structure of Re5Mo. Source: Alexandria via LeMat-Bulk, functional PBE.

a b c (Å): 5.116 5.116 5.116
angles (deg): 60.00 60.00 60.00
Sites, in units of the cell vectors:
Re1 0.125 0.625 0.625
Re2 0.625 0.625 0.625
Re3 0.250 0.250 0.250
Re4 0.625 0.125 0.625
Mo1 0.000 0.000 0.000
Re5 0.625 0.625 0.125

## Properties
calculated formation energy = 250 meV per atom
density of states at the Fermi level = 0.51 states/eV/atom